Material: Pu3Te2S
Method: DFT, GGA-PBE
State: optimized geometry

Cell: 7.4579 7.4579 7.4090 Å, 99.70 99.70 120.18°
With the nearest neighbours (Å) after each atom.
Atoms (fractional coordinates):
Pu1 0.0000 0.5000 0.0000  2 S 2.94, 4 Te 3.04-3.06
Pu2 0.1366 0.2830 0.4913  2 S 2.86-2.90, 3 Te 3.08-3.17
Pu3 0.2830 0.1366 0.9913  2 S 2.86-2.90, 3 Te 3.08-3.17
Pu4 0.5000 0.0000 0.5000  2 S 2.94, 4 Te 3.04-3.06
Pu5 0.7170 0.8634 0.0087  2 S 2.86-2.90, 3 Te 3.08-3.17
Pu6 0.8634 0.7170 0.5087  2 S 2.86-2.90, 3 Te 3.08-3.17
Te1 0.2629 0.7371 0.7500  6 Pu 3.04-3.17
Te2 0.4198 0.5802 0.2500  6 Pu 3.06-3.24
Te3 0.5802 0.4198 0.7500  6 Pu 3.06-3.24
Te4 0.7371 0.2629 0.2500  6 Pu 3.04-3.17
S1 0.0938 0.9062 0.2500  6 Pu 2.86-2.94
S2 0.9062 0.0938 0.7500  6 Pu 2.86-2.94

## Properties
Fermi-level density of states (states/eV/cell): 55.114
E_form (uncorrected) (meV/atom): -1254.2
Total moment (Bohr magnetons per cell): 35.12
Energy (eV/atom): -10.155
Distance to the lowest polymorph of the same formula (meV per atom): 2
Calculated volume (Å³/atom): 27.9